Record 1
A plane-wave DFT calculation with GGA-PBE was carried out for a geometry-optimized Pm2Dy2Ho2Mg structure.

Properties
Volume: 224.0 Å³/cell
Calculated total energy: -4.1187 eV per atom
ΔE_f: 89 meV/atom
Total magnetic moment: 0.00 μB/f.u.
SG: C2/m, No. 12

a b c (Å): 3.6492 6.3166 11.5521
angles (deg): 117.22 90.00 106.79
Atoms (fractional coordinates):
1 Dy 0.7470 0.4940 0.6291
2 Dy 0.2530 0.5060 0.3709
3 Mg 0.0000 0.0000 0.5000
4 Pm 0.4712 0.9424 0.2550
5 Pm 0.5288 0.0576 0.7450
6 Ho 0.3201 0.6402 0.9143
7 Ho 0.6799 0.3598 0.0857



Record 2
A plane-wave DFT calculation with GGA-PBE was carried out for a geometry-optimized Pm2Dy4Ho2Mg structure.

Properties
Volume: 292.4 Å³/cell
Calculated total energy: -4.1601 eV per atom
ΔE_f: 135 meV/atom
Total magnetic moment: 0.00 μB/f.u.
SG: P-1, No. 2

a b c (Å): 7.0808 8.4879 6.6012
angles (deg): 121.67 119.41 79.85
Atoms (fractional coordinates):
1 Ho 0.8573 0.3973 0.1575
2 Ho 0.1427 0.6027 0.8425
3 Dy 0.3449 0.3503 0.1577
4 Dy 0.3725 0.2187 0.5835
5 Dy 0.6551 0.6497 0.8423
6 Dy 0.6275 0.7813 0.4165
7 Mg 0.0000 0.0000 0.0000
8 Pm 0.1708 0.8199 0.5208
9 Pm 0.8292 0.1801 0.4792



Record 3
A plane-wave DFT calculation with GGA-PBE was carried out for a geometry-optimized Pm2Dy4HoMg structure.

Properties
Volume: 249.6 Å³/cell
Calculated total energy: -4.2342 eV per atom
ΔE_f: 26 meV/atom
Total magnetic moment: 0.00 μB/f.u.
SG: Pmmm, No. 47

a b c (Å): 4.9649 4.9783 11.2606
angles (deg): 63.75 90.00 89.99
Atoms (fractional coordinates):
1 Dy 0.5000 0.2496 0.7507
2 Dy 0.0000 0.2506 0.2491
3 Dy 0.0000 0.7494 0.7509
4 Dy 0.5000 0.7504 0.2493
5 Mg 0.5000 0.5000 0.0000
6 Ho 0.0000 0.5000 0.5000
7 Pm 0.0000 0.0000 0.0000
8 Pm 0.5000 0.0000 0.5000



Record 4
A plane-wave DFT calculation with GGA-PBE was carried out for a geometry-optimized PmDy2Ho2Mg2 structure.

Properties
Volume: 206.5 Å³/cell
Calculated total energy: -3.7906 eV per atom
ΔE_f: -34 meV/atom
Total magnetic moment: 0.00 μB/f.u.
SG: R-3m, No. 166

a b c (Å): 5.4560 5.4560 8.6081
angles (deg): 71.52 71.52 60.00
Atoms (fractional coordinates):
1 Dy 0.4281 0.4281 0.7158
2 Dy 0.5719 0.5719 0.2842
3 Mg 0.7107 0.7107 0.8679
4 Mg 0.2893 0.2893 0.1321
5 Ho 0.1558 0.1558 0.5327
6 Ho 0.8442 0.8442 0.4673
7 Pm 0.0000 0.0000 0.0000



Record 5
A plane-wave DFT calculation with GGA-PBE was carried out for a geometry-optimized Pm6Dy3Ho2Mg structure.

Properties
Volume: 385.7 Å³/cell
Calculated total energy: -4.3998 eV per atom
ΔE_f: 22 meV/atom
Total magnetic moment: 0.00 μB/f.u.
SG: C2/m, No. 12

a b c (Å): 6.2086 6.2086 11.7438
angles (deg): 95.07 95.07 120.04
Atoms (fractional coordinates):
1 Dy 0.5000 0.5000 0.5000
2 Dy 0.1665 0.8335 0.5000
3 Dy 0.8335 0.1665 0.5000
4 Pm 0.0821 0.4146 0.2481
5 Pm 0.7495 0.7495 0.2494
6 Pm 0.2505 0.2505 0.7506
7 Pm 0.5854 0.9179 0.7519
8 Pm 0.4146 0.0821 0.2481
9 Pm 0.9179 0.5854 0.7519
10 Ho 0.3334 0.6666 0.0000
11 Ho 0.6666 0.3334 0.0000
12 Mg 0.0000 0.0000 0.0000



Record 6
A plane-wave DFT calculation with GGA-PBE was carried out for a geometry-optimized Pm2Dy2HoMg5 structure.

Properties
Volume: 570.5 Å³/cell
Calculated total energy: -3.0828 eV per atom
ΔE_f: 43 meV/atom
Total magnetic moment: 0.00 μB/f.u.
SG: P4/mbm, No. 127

a b c (Å): 5.0773 10.6004 10.6004
angles (deg): 90.00 90.00 90.00
Atoms (fractional coordinates):
1 Pm 0.0000 0.8230 0.6770
2 Pm 0.0000 0.1770 0.3230
3 Pm 0.0000 0.6770 0.1770
4 Pm 0.0000 0.3230 0.8230
5 Mg 0.5000 0.3027 0.5696
6 Mg 0.5000 0.1973 0.0696
7 Mg 0.5000 0.6973 0.4304
8 Mg 0.5000 0.9304 0.1973
9 Mg 0.5000 0.4304 0.3027
10 Mg 0.5000 0.5696 0.6973
11 Mg 0.5000 0.0000 0.5000
12 Mg 0.5000 0.0696 0.8027
13 Mg 0.5000 0.8027 0.9304
14 Mg 0.5000 0.5000 0.0000
15 Dy 0.0000 0.3798 0.1202
16 Dy 0.0000 0.6202 0.8798
17 Dy 0.0000 0.1202 0.6202
18 Dy 0.0000 0.8798 0.3798
19 Ho 0.0000 0.5000 0.5000
20 Ho 0.0000 0.0000 0.0000



Record 7
A plane-wave DFT calculation with GGA-PBE was carried out for a geometry-optimized Pr2DyHo4Mg structure.

Properties
Volume: 252.3 Å³/cell
Calculated total energy: -4.2252 eV per atom
ΔE_f: 33 meV/atom
Total magnetic moment: 0.00 μB/f.u.
SG: Pmmm, No. 47

a b c (Å): 4.9775 4.9884 11.3189
angles (deg): 63.85 90.00 90.00
Atoms (fractional coordinates):
1 Ho 0.5000 0.7504 0.2495
2 Ho 0.0000 0.2507 0.2494
3 Ho 0.0000 0.7493 0.7506
4 Ho 0.5000 0.2496 0.7505
5 Mg 0.5000 0.5000 0.0000
6 Pr 0.5000 0.0000 0.5000
7 Pr 0.0000 0.0000 0.0000
8 Dy 0.0000 0.5000 0.5000



Record 8
A plane-wave DFT calculation with GGA-PBE was carried out for a geometry-optimized Pr2Dy2HoMg5 structure.

Properties
Volume: 575.9 Å³/cell
Calculated total energy: -3.1037 eV per atom
ΔE_f: 28 meV/atom
Total magnetic moment: 0.00 μB/f.u.
SG: P4/mbm, No. 127

a b c (Å): 5.0870 10.6403 10.6403
angles (deg): 90.00 90.00 90.00
Atoms (fractional coordinates):
1 Pr 0.0000 0.8242 0.6758
2 Pr 0.0000 0.6758 0.1758
3 Pr 0.0000 0.3242 0.8242
4 Pr 0.0000 0.1758 0.3242
5 Mg 0.5000 0.9272 0.1959
6 Mg 0.5000 0.5728 0.6959
7 Mg 0.5000 0.6959 0.4272
8 Mg 0.5000 0.3041 0.5728
9 Mg 0.5000 0.4272 0.3041
10 Mg 0.5000 0.0000 0.5000
11 Mg 0.5000 0.0728 0.8041
12 Mg 0.5000 0.5000 0.0000
13 Mg 0.5000 0.8041 0.9272
14 Mg 0.5000 0.1959 0.0728
15 Dy 0.0000 0.1213 0.6213
16 Dy 0.0000 0.3787 0.1213
17 Dy 0.0000 0.8787 0.3787
18 Dy 0.0000 0.6213 0.8787
19 Ho 0.0000 0.5000 0.5000
20 Ho 0.0000 0.0000 0.0000



Record 9
A plane-wave DFT calculation with GGA-PBE was carried out for a geometry-optimized PrDy6Ho2Mg structure.

Properties
Volume: 630.8 Å³/cell
Calculated total energy: -4.1964 eV per atom
ΔE_f: 118 meV/atom
Total magnetic moment: 0.00 μB/f.u.
SG: C2/c, No. 15

a b c (Å): 6.6480 10.8201 10.8201
angles (deg): 124.97 86.08 86.08
Atoms (fractional coordinates):
1 Dy 0.0404 0.0723 0.7835
2 Dy 0.5404 0.7835 0.0723
3 Dy 0.9596 0.9277 0.2165
4 Dy 0.5197 0.5181 0.6885
5 Dy 0.9803 0.3115 0.4819
6 Dy 0.2135 0.5704 0.0872
7 Dy 0.4803 0.4819 0.3115
8 Dy 0.2865 0.9128 0.4296
9 Dy 0.0197 0.6885 0.5181
10 Dy 0.4596 0.2165 0.9277
11 Dy 0.7135 0.0872 0.5704
12 Dy 0.7865 0.4296 0.9128
13 Mg 0.7500 0.7080 0.2920
14 Mg 0.2500 0.2920 0.7080
15 Ho 0.9964 0.3437 0.1752
16 Ho 0.4964 0.1752 0.3437
17 Ho 0.5036 0.8248 0.6563
18 Ho 0.0036 0.6563 0.8248
19 Pr 0.7500 0.0119 0.9881
20 Pr 0.2500 0.9881 0.0119



Record 10
A plane-wave DFT calculation with GGA-PBE was carried out for a geometry-optimized Pr2Dy4HoMg structure.

Properties
Volume: 253.4 Å³/cell
Calculated total energy: -4.2365 eV per atom
ΔE_f: 31 meV/atom
Total magnetic moment: 0.00 μB/f.u.
SG: Pmmm, No. 47

a b c (Å): 4.9847 4.9972 11.3350
angles (deg): 63.83 90.00 90.00
Atoms (fractional coordinates):
1 Mg 0.5000 0.5000 0.0000
2 Dy 0.5000 0.2499 0.7502
3 Dy 0.0000 0.7496 0.7504
4 Dy 0.0000 0.2504 0.2496
5 Dy 0.5000 0.7501 0.2498
6 Pr 0.5000 0.0000 0.5000
7 Pr 0.0000 0.0000 0.0000
8 Ho 0.0000 0.5000 0.5000



Record 11
A plane-wave DFT calculation with GGA-PBE was carried out for a geometry-optimized Pr2DyHo2Mg5 structure.

Properties
Volume: 575.7 Å³/cell
Calculated total energy: -3.1027 eV per atom
ΔE_f: 26 meV/atom
Total magnetic moment: 0.00 μB/f.u.
SG: P4/mbm, No. 127

a b c (Å): 5.0865 10.6387 10.6387
angles (deg): 90.00 90.00 90.00
Atoms (fractional coordinates):
1 Ho 0.0000 0.6207 0.8793
2 Ho 0.0000 0.3793 0.1207
3 Ho 0.0000 0.1207 0.6207
4 Ho 0.0000 0.8793 0.3793
5 Mg 0.5000 0.5000 0.0000
6 Mg 0.5000 0.0000 0.5000
7 Mg 0.5000 0.3036 0.5733
8 Mg 0.5000 0.0733 0.8036
9 Mg 0.5000 0.9267 0.1964
10 Mg 0.5000 0.5733 0.6964
11 Mg 0.5000 0.8036 0.9267
12 Mg 0.5000 0.6964 0.4267
13 Mg 0.5000 0.1964 0.0733
14 Mg 0.5000 0.4267 0.3036
15 Dy 0.0000 0.5000 0.5000
16 Dy 0.0000 0.0000 0.0000
17 Pr 0.0000 0.6760 0.1760
18 Pr 0.0000 0.3240 0.8240
19 Pr 0.0000 0.8240 0.6760
20 Pr 0.0000 0.1760 0.3240



Record 12
A plane-wave DFT calculation with GGA-PBE was carried out for a geometry-optimized PrDy4Ho2Mg structure.

Properties
Volume: 247.9 Å³/cell
Calculated total energy: -4.2214 eV per atom
ΔE_f: 21 meV/atom
Total magnetic moment: 0.00 μB/f.u.
SG: P4/mmm, No. 123

a b c (Å): 4.9416 11.2780 4.9505
angles (deg): 63.94 90.00 90.00
Atoms (fractional coordinates):
1 Mg 0.0000 0.5000 0.5000
2 Ho 0.5000 0.0000 0.5000
3 Ho 0.0000 0.0000 0.0000
4 Dy 0.5000 0.2474 0.7524
5 Dy 0.5000 0.7526 0.2476
6 Dy 0.0000 0.7523 0.7479
7 Dy 0.0000 0.2477 0.2521
8 Pr 0.5000 0.5000 0.0000



Record 13
A plane-wave DFT calculation with GGA-PBE was carried out for a geometry-optimized DyHoMgPt structure.

Properties
Volume: 92.2 Å³/cell
Calculated total energy: -4.8086 eV per atom
ΔE_f: -605 meV/atom
Total magnetic moment: 0.00 μB/f.u.
SG: F-43m, No. 216

a b c (Å): 5.0713 5.0713 5.0713
angles (deg): 60.00 60.00 60.00
Atoms (fractional coordinates):
1 Dy 0.0000 0.0000 0.0000
2 Pt 0.7500 0.7500 0.7500
3 Ho 0.5000 0.5000 0.5000
4 Mg 0.2500 0.2500 0.2500



Record 14
A plane-wave DFT calculation with GGA-PBE was carried out for a geometry-optimized DyHoMgRu structure.

Properties
Volume: 88.9 Å³/cell
Calculated total energy: -5.2155 eV per atom
ΔE_f: -203 meV/atom
Energy relative to the lowest polymorph listed for this composition: 97 meV per atom
Total magnetic moment: 0.00 μB/f.u.
SG: F-43m, No. 216

a b c (Å): 5.0093 5.0093 5.0093
angles (deg): 60.00 60.00 60.00
Atoms (fractional coordinates):
1 Ru 0.7500 0.7500 0.7500
2 Ho 0.5000 0.5000 0.5000
3 Dy 0.0000 0.0000 0.0000
4 Mg 0.2500 0.2500 0.2500



Record 15
A plane-wave DFT calculation with GGA-PBE was carried out for a geometry-optimized DyHoMgRu structure.

Properties
Volume: 95.3 Å³/cell
Calculated total energy: -5.3120 eV per atom
ΔE_f: -299 meV/atom
Energy relative to the lowest polymorph listed for this composition: 0 meV per atom
Total magnetic moment: 0.00 μB/f.u.
SG: P4mm, No. 99

a b c (Å): 3.4348 3.4348 8.0789
angles (deg): 90.00 90.00 90.00
Atoms (fractional coordinates):
1 Dy 0.5000 0.5000 0.7745
2 Ru 0.0000 0.0000 0.5697
3 Mg 0.0000 0.0000 0.0730
4 Ho 0.5000 0.5000 0.3676



Record 16
A plane-wave DFT calculation with GGA-PBE was carried out for a geometry-optimized DyHo4MgS8 structure.

Properties
Volume: 354.8 Å³/cell
Calculated total energy: -6.0287 eV per atom
Total magnetic moment: 0.00 μB/f.u.
SG: R3m, No. 160

a b c (Å): 7.9445 7.9445 7.9476
angles (deg): 60.01 60.01 60.00
Atoms (fractional coordinates):
1 S 0.2467 0.7617 0.7449
2 S 0.7584 0.7584 0.7249
3 S 0.2460 0.2460 0.2620
4 S 0.2467 0.2467 0.7449
5 S 0.2254 0.7576 0.2594
6 S 0.7576 0.7576 0.2594
7 S 0.7617 0.2467 0.7449
8 S 0.7576 0.2254 0.2594
9 Mg 0.3751 0.3751 0.8748
10 Ho 0.4919 0.0027 0.5027
11 Ho 0.0027 0.0027 0.5027
12 Ho 0.6250 0.6250 0.1249
13 Ho 0.0027 0.4919 0.5027
14 Dy 0.0026 0.0026 0.9921



Record 17
A plane-wave DFT calculation with GGA-PBE was carried out for a geometry-optimized Dy2Ho6MgSc3 structure.

Properties
Volume: 344.7 Å³/cell
Calculated total energy: -4.7275 eV per atom
ΔE_f: 44 meV/atom
Total magnetic moment: 0.00 μB/f.u.
SG: C2/m, No. 12

a b c (Å): 5.9748 5.9748 11.3276
angles (deg): 95.06 95.06 120.00
Atoms (fractional coordinates):
1 Ho 0.9142 0.5808 0.7420
2 Ho 0.0858 0.4192 0.2580
3 Ho 0.2477 0.2477 0.7418
4 Ho 0.4192 0.0858 0.2580
5 Ho 0.7523 0.7523 0.2582
6 Ho 0.5808 0.9142 0.7420
7 Sc 0.1657 0.8343 0.5000
8 Sc 0.8343 0.1657 0.5000
9 Sc 0.5000 0.5000 0.5000
10 Dy 0.3334 0.6666 0.0000
11 Dy 0.6666 0.3334 0.0000
12 Mg 0.0000 0.0000 0.0000



Record 18
A plane-wave DFT calculation with GGA-PBE was carried out for a geometry-optimized Dy4Ho2MgSc structure.

Properties
Volume: 235.4 Å³/cell
Calculated total energy: -4.4076 eV per atom
ΔE_f: 29 meV/atom
Total magnetic moment: 0.00 μB/f.u.
SG: P4/mmm, No. 123

a b c (Å): 4.9301 4.9315 10.8696
angles (deg): 62.99 90.00 90.00
Atoms (fractional coordinates):
1 Dy 0.0000 0.7534 0.7470
2 Dy 0.5000 0.7463 0.2529
3 Dy 0.5000 0.2537 0.7471
4 Dy 0.0000 0.2466 0.2530
5 Ho 0.5000 0.0000 0.5000
6 Ho 0.0000 0.0000 0.0000
7 Mg 0.5000 0.5000 0.0000
8 Sc 0.0000 0.5000 0.5000



Record 19
A plane-wave DFT calculation with GGA-PBE was carried out for a geometry-optimized Dy2Ho2Mg5Sc structure.

Properties
Volume: 542.9 Å³/cell
Calculated total energy: -3.1621 eV per atom
ΔE_f: 104 meV/atom
Total magnetic moment: 0.00 μB/f.u.
SG: P4/mbm, No. 127

a b c (Å): 4.9317 10.4920 10.4920
angles (deg): 90.00 90.00 90.00
Atoms (fractional coordinates):
1 Mg 0.5000 0.3079 0.5709
2 Mg 0.5000 0.0000 0.5000
3 Mg 0.5000 0.0709 0.8079
4 Mg 0.5000 0.5709 0.6921
5 Mg 0.5000 0.4291 0.3079
6 Mg 0.5000 0.9291 0.1921
7 Mg 0.5000 0.5000 0.0000
8 Mg 0.5000 0.1921 0.0709
9 Mg 0.5000 0.8079 0.9291
10 Mg 0.5000 0.6921 0.4291
11 Dy 0.0000 0.1771 0.3229
12 Dy 0.0000 0.6771 0.1771
13 Dy 0.0000 0.3229 0.8229
14 Dy 0.0000 0.8229 0.6771
15 Ho 0.0000 0.6203 0.8797
16 Ho 0.0000 0.3797 0.1203
17 Ho 0.0000 0.1203 0.6203
18 Ho 0.0000 0.8797 0.3797
19 Sc 0.0000 0.0000 0.0000
20 Sc 0.0000 0.5000 0.5000



Record 20
A plane-wave DFT calculation with GGA-PBE was carried out for a geometry-optimized Dy3Ho3MgSe8 structure.

Properties
Volume: 375.2 Å³/cell
Calculated total energy: -5.5478 eV per atom
Total magnetic moment: 0.00 μB/f.u.
SG: R-3m, No. 166

a b c (Å): 8.0919 8.0921 8.1001
angles (deg): 119.97 90.00 120.00
Atoms (fractional coordinates):
1 Ho 0.0000 0.5000 0.5000
2 Ho 0.5000 0.5000 0.5000
3 Ho 0.5000 0.0000 0.5000
4 Se 0.7560 0.0011 0.2571
5 Se 0.2440 0.9989 0.7429
6 Se 0.2440 0.4880 0.7429
7 Se 0.7560 0.5120 0.2571
8 Se 0.7549 0.9989 0.7429
9 Se 0.2451 0.0011 0.2571
10 Se 0.7494 0.4989 0.7483
11 Se 0.2506 0.5011 0.2517
12 Dy 0.5000 0.5000 0.0000
13 Dy 0.0000 0.5000 0.0000
14 Dy 0.0000 0.0000 0.0000
15 Mg 0.0000 0.0000 0.5000



Record 21
A plane-wave DFT calculation with GGA-PBE was carried out for a geometry-optimized Sm2Dy2HoMg5 structure.

Properties
Volume: 569.3 Å³/cell
Calculated total energy: -3.0692 eV per atom
ΔE_f: 50 meV/atom
Total magnetic moment: 0.00 μB/f.u.
SG: P4/mbm, No. 127

a b c (Å): 5.0729 10.5940 10.5940
angles (deg): 90.00 90.00 90.00
Atoms (fractional coordinates):
1 Mg 0.5000 0.0692 0.8027
2 Mg 0.5000 0.0000 0.5000
3 Mg 0.5000 0.1973 0.0692
4 Mg 0.5000 0.8027 0.9308
5 Mg 0.5000 0.4308 0.3027
6 Mg 0.5000 0.6973 0.4308
7 Mg 0.5000 0.3027 0.5692
8 Mg 0.5000 0.5692 0.6973
9 Mg 0.5000 0.9308 0.1973
10 Mg 0.5000 0.5000 0.0000
11 Dy 0.0000 0.6200 0.8800
12 Dy 0.0000 0.1200 0.6200
13 Dy 0.0000 0.3800 0.1200
14 Dy 0.0000 0.8800 0.3800
15 Ho 0.0000 0.0000 0.0000
16 Ho 0.0000 0.5000 0.5000
17 Sm 0.0000 0.6772 0.1772
18 Sm 0.0000 0.3228 0.8228
19 Sm 0.0000 0.8228 0.6772
20 Sm 0.0000 0.1772 0.3228